Sm8MgSb6 | Alexandria via LeMat-Bulk | GGA-PBE | relaxed; ΔE_f (raw) = -0.836 eV per atom; N(E_F) = 0.928 states/eV/atom; spin magnetization = 0.0 μB/f.u.; density = 6.843 Mg/m³; DFT total energy = -5.1080 eV/atom
1.0
4.636 2.676 6.382
-4.636 2.676 6.382
0.000 -5.353 6.382
Sm Mg Sb
8 1 6
Direct
0.119 0.401 0.696
0.169 0.169 0.169
0.304 0.881 0.599
0.401 0.696 0.119
0.599 0.304 0.881
0.696 0.119 0.401
0.831 0.831 0.831
0.881 0.599 0.304
0.500 0.500 0.500
0.056 0.792 0.428
0.208 0.572 0.944
0.428 0.056 0.792
0.572 0.944 0.208
0.792 0.428 0.056
0.944 0.208 0.572